NdZn5Au7 after structural relaxation, computed with PBE.

The structure in POSCAR format:
```
NdZn5Au7
1.0
-2.6695 4.7308 4.6017
2.6695 -4.7308 4.6017
2.6695 4.7308 -4.6017
Nd Zn Au
1 5 7
Direct
0.0000 0.0000 0.0000
0.4867 0.4889 0.5016
0.4867 0.9851 0.9978
0.7565 0.2565 0.5000
0.9873 0.4889 0.0022
0.9873 0.9851 0.4984
0.1739 0.4801 0.6938
0.2203 0.7203 0.5000
0.3355 0.9959 0.3396
0.3429 0.3429 0.0000
0.6563 0.9959 0.6604
0.6655 0.6655 0.0000
0.7863 0.4801 0.3062
```

Results
- Magnetic moment: 0.000 μB per atom
- Space group: No. 44
- Energy: -38.7 eV/cell